{"formula": "Nd3ScBi4", "functional": "GGA-PBE", "state": "relaxed", "lattice": [[7.8497, 0.0708, 0.0000], [-2.6847, 7.3660, 0.0000], [0.0000, 0.0000, 9.0824]], "species": ["Sc", "Sc", "Nd", "Nd", "Nd", "Nd", "Nd", "Nd", "Bi", "Bi", "Bi", "Bi", "Bi", "Bi", "Bi", "Bi"], "frac_coords": [[0.7500, 0.0000, 0.8751], [0.2500, 0.0000, 0.1249], [0.7500, 0.0000, 0.3738], [0.2500, 0.0000, 0.6262], [0.7500, 0.5000, 0.6270], [0.7500, 0.5000, 0.1242], [0.2500, 0.5000, 0.3730], [0.2500, 0.5000, 0.8758], [0.9925, 0.2429, 0.6324], [0.5002, 0.2342, 0.8835], [0.4925, 0.2429, 0.3676], [0.0002, 0.2342, 0.1165], [0.9998, 0.7658, 0.8835], [0.5075, 0.7571, 0.6324], [0.4998, 0.7658, 0.1165], [0.0075, 0.7571, 0.3676]], "total_energy_ev_per_atom": -5.3733, "dos_at_fermi_per_ev_cell": 1.941}